# 1
VASP calculation (PBE) on crystalline GaNiHg at its relaxed geometry.

Cell: 4.2422 4.2422 4.2422 Å, 60.00 60.00 60.00°
Closest atoms and distances in Å follow each position.
Fractional positions:
Hg 0.7500 0.7500 0.7500  4 Ni 2.60
Ga 0.2500 0.2500 0.2500  4 Ni 2.60
Ni 0.0000 0.0000 0.0000  4 Ga 2.60, 4 Hg 2.60

## Properties
ΔE to the lowest computed polymorph ... 0.00 eV per formula unit



# 2
VASP calculation (PBE) on crystalline TbErNO at its relaxed geometry.

Cell: 6.5778 8.0331 4.9282 Å, 90.00 90.00 90.00°
Closest atoms and distances in Å follow each position.
Fractional positions:
O 0.5955 0.3733 0.5496  3 Er 2.20-2.45, 1 Tb 2.29
O 0.4045 0.6267 0.0496  3 Er 2.20-2.45, 1 Tb 2.29
O 0.9045 0.3733 0.0496  3 Er 2.20-2.45, 1 Tb 2.29
O 0.0955 0.6267 0.5496  3 Er 2.20-2.45, 1 Tb 2.29
Er 0.0705 0.6215 0.0528  3 O 2.20-2.45, 1 N 2.20
Er 0.5705 0.3785 0.0528  3 O 2.20-2.45, 1 N 2.20
Er 0.9295 0.3785 0.5528  3 O 2.20-2.45, 1 N 2.20
Er 0.4295 0.6215 0.5528  3 O 2.20-2.45, 1 N 2.20
N 0.5665 0.8718 0.5505  1 Er 2.20, 3 Tb 2.28-2.46
N 0.0665 0.1282 0.5505  1 Er 2.20, 3 Tb 2.28-2.46
N 0.9335 0.8718 0.0505  1 Er 2.20, 3 Tb 2.28-2.46
N 0.4335 0.1282 0.0505  1 Er 2.20, 3 Tb 2.28-2.46
Tb 0.4181 0.1282 0.5496  4 N 2.28-2.47, 1 O 2.29
Tb 0.0819 0.1282 0.0496  4 N 2.28-2.47, 1 O 2.29
Tb 0.5819 0.8718 0.0496  4 N 2.28-2.47, 1 O 2.29
Tb 0.9181 0.8718 0.5496  4 N 2.28-2.47, 1 O 2.29

## Properties
ΔE to the lowest computed polymorph ... 0.18 eV per formula unit



# 3
VASP calculation (PBE) on crystalline BaSmSn at its relaxed geometry.

Cell: 5.4128 5.4128 5.4128 Å, 60.00 60.00 60.00°
Closest atoms and distances in Å follow each position.
Fractional positions:
Ba 0.2500 0.2500 0.2500  4 Sm 3.31
Sn 0.7500 0.7500 0.7500  4 Sm 3.31
Sm 0.0000 0.0000 0.0000  4 Sn 3.31, 4 Ba 3.31

## Properties
DFT total energy ... -3.56 eV per atom



# 4
VASP calculation (PBE) on crystalline NiSn2W at its relaxed geometry.

Cell: 4.7018 4.7018 4.7018 Å, 60.00 60.00 60.00°
Closest atoms and distances in Å follow each position.
Fractional positions:
W 0.5000 0.5000 0.5000  4 Ni 2.88, 4 Sn 2.88
Sn 0.7500 0.7500 0.7500  4 W 2.88, 4 Sn 2.88
Sn 0.0000 0.0000 0.0000  4 Sn 2.88, 4 Ni 2.88
Ni 0.2500 0.2500 0.2500  4 W 2.88, 4 Sn 2.88

## Properties
DFT total energy ... -5.82 eV per atom



# 5
VASP calculation (PBE) on crystalline Pr3Cd3GaPt2 at its relaxed geometry.

Cell: 7.8120 7.8120 4.0496 Å, 90.00 90.00 120.00°
Closest atoms and distances in Å follow each position.
Fractional positions:
Pr 0.0000 0.5852 0.5000  4 Pt 3.10, 1 Ga 3.24, 2 Cd 3.29
Pr 0.4148 0.4148 0.5000  4 Pt 3.10, 1 Ga 3.24, 2 Cd 3.29
Pr 0.5852 0.0000 0.5000  4 Pt 3.10, 1 Ga 3.24, 2 Cd 3.29
Pt 0.6667 0.3333 0.0000  3 Cd 2.96, 6 Pr 3.10
Pt 0.3333 0.6667 0.0000  3 Cd 2.96, 6 Pr 3.10
Ga 0.0000 0.0000 0.5000  6 Cd 2.83
Cd 0.7461 0.7461 0.0000  2 Ga 2.83, 2 Pt 2.96
Cd 0.2539 0.0000 0.0000  2 Ga 2.83, 2 Pt 2.96
Cd 0.0000 0.2539 0.0000  2 Ga 2.83, 2 Pt 2.96

## Properties
DFT total energy ... -4.30 eV per atom



# 6
VASP calculation (PBE) on crystalline LuCoIr at its relaxed geometry.

Cell: 4.3848 4.3848 4.3848 Å, 60.00 60.00 60.00°
Closest atoms and distances in Å follow each position.
Fractional positions:
Co 0.2500 0.2500 0.2500  4 Ir 2.69
Ir 0.0000 0.0000 0.0000  4 Lu 2.69, 4 Co 2.69
Lu 0.7500 0.7500 0.7500  4 Ir 2.69

## Properties
E_form ... -0.041 eV per atom



# 7
VASP calculation (PBE) on crystalline La2Hf14O31 at its relaxed geometry.

Cell: 10.2428 10.2568 10.4602 Å, 91.05 90.73 90.08°
Closest atoms and distances in Å follow each position.
Fractional positions:
O 0.3524 0.7512 0.5014  3 Hf 2.15-2.30
O 0.0982 0.7954 0.9426  2 Hf 1.98-2.04
O 0.6262 0.0226 0.4749  3 Hf 2.12-2.31
O 0.4121 0.5152 0.5058  2 Hf 2.05-2.16
O 0.8707 0.5146 0.9969  3 Hf 2.11-2.19, 1 La 2.33
O 0.4007 0.2542 0.2519  3 Hf 2.07-2.23
O 0.8780 0.7611 0.5229  4 Hf 2.06-2.22
O 0.1524 0.5835 0.2946  2 Hf 1.99-2.06
O 0.8728 0.9997 0.4911  4 Hf 2.09-2.20
O 0.6124 0.5364 0.0290  3 Hf 2.13-2.28
O 0.8953 0.5041 0.2396  4 Hf 2.11-2.33
O 0.5913 0.2736 0.9653  2 Hf 2.03-2.11
O 0.0923 0.8131 0.4401  3 Hf 2.02-2.24
O 0.3637 0.7532 0.0145  3 Hf 2.07-2.13
O 0.3643 0.2500 0.5200  3 Hf 2.05-2.13
O 0.3835 0.2602 0.7703  4 Hf 2.09-2.28
O 0.3658 0.0169 0.7517  3 Hf 2.04-2.18
O 0.8272 0.0176 0.2561  2 Hf 2.06-2.19
O 0.8480 0.7521 0.0139  2 Hf 2.07-2.10
O 0.6201 0.9958 0.8017  2 Hf 2.08
O 0.8937 0.2475 0.7353  3 Hf 2.16
O 0.1157 0.5418 0.5434  3 Hf 2.07-2.23
O 0.1226 0.0302 0.7805  3 Hf 2.06-2.26
O 0.5947 0.3027 0.4515  3 Hf 2.11-2.19
O 0.6516 0.2963 0.2042  3 Hf 2.06-2.12
O 0.1069 0.5472 0.0485  3 Hf 2.02-2.15
O 0.8673 0.0007 0.7369  2 Hf 2.05-2.17
O 0.1599 0.7951 0.6881  3 Hf 2.01-2.20
O 0.0698 0.2963 0.4461  2 Hf 2.01-2.04
O 0.8480 0.0160 0.9819  3 Hf 2.11-2.19
O 0.3577 0.0017 0.9961  4 Hf 2.15-2.26
O 0.3783 0.7568 0.7752  3 Hf 2.08-2.18
O 0.4015 0.7623 0.2677  3 Hf 2.01-2.17
O 0.6442 0.7181 0.7620  3 Hf 2.06-2.29
O 0.6183 0.2258 0.7052  2 Hf 2.00-2.09
O 0.3477 0.2560 0.0094  4 Hf 2.10-2.35
O 0.3655 0.5050 0.9918  4 Hf 2.12-2.27
O 0.0844 0.3109 0.9283  3 Hf 2.03-2.18
O 0.8948 0.7601 0.7652  3 Hf 2.11-2.18
O 0.5900 0.0481 0.0756  2 Hf 2.00-2.06
O 0.1361 0.0481 0.2888  2 Hf 2.04-2.19
O 0.1042 0.0717 0.0295  2 Hf 2.03-2.06
O 0.0970 0.0603 0.5437  3 Hf 2.01-2.15
O 0.1646 0.5575 0.8018  3 Hf 2.07-2.12
O 0.8653 0.2566 0.0066  3 Hf 2.04-2.18
O 0.5983 0.7991 0.9798  3 Hf 2.05-2.10
O 0.8799 0.7480 0.2757  3 Hf 2.08-2.20
O 0.8638 0.5073 0.4880  4 Hf 2.14-2.23
O 0.8931 0.2568 0.2509  4 Hf 2.13-2.28
O 0.6566 0.5436 0.3021  3 Hf 2.04-2.19
O 0.4015 0.5165 0.2332  3 Hf 2.11-2.17
O 0.6410 0.8018 0.2325  2 Hf 2.07-2.11
O 0.1529 0.2988 0.1848  2 Hf 2.00-2.07
O 0.8422 0.2525 0.5006  4 Hf 2.03-2.27
O 0.1887 0.8130 0.1908  2 Hf 2.06-2.07, 1 La 2.24
O 0.1581 0.3090 0.6885  3 Hf 2.05-2.20
O 0.9083 0.5166 0.7383  3 Hf 2.11-2.16
O 0.6571 0.4805 0.6583  2 Hf 2.00-2.03
O 0.3543 0.0146 0.4958  3 Hf 2.11-2.22
O 0.4066 0.5090 0.7495  4 Hf 2.13-2.36
O 0.6359 0.7370 0.4921  3 Hf 2.09-2.34
O 0.3927 0.0110 0.2535  4 Hf 2.14-2.26
Hf 0.7568 0.8653 0.8732  7 O 2.08-2.31
Hf 0.9961 0.3814 0.1050  6 O 2.00-2.19
Hf 0.9844 0.1323 0.8831  6 O 2.06-2.18
Hf 0.7766 0.6366 0.6380  6 O 2.03-2.23
Hf 0.2576 0.1323 0.1402  7 O 2.03-2.26
Hf 0.9896 0.3777 0.6066  7 O 2.04-2.25
Hf 0.0000 0.6290 0.8912  6 O 2.04-2.18
Hf 0.4892 0.6457 0.8999  7 O 2.07-2.29
Hf 0.0074 0.8965 0.6200  6 O 2.01-2.24
Hf 0.7625 0.1247 0.6238  5 O 2.00-2.20
Hf 0.4887 0.8817 0.1219  7 O 2.05-2.25
Hf 0.7593 0.3771 0.3566  7 O 2.09-2.29
Hf 0.9832 0.1297 0.3848  5 O 2.01-2.15
Hf 0.7544 0.1448 0.1223  5 O 2.00-2.19
Hf 0.9969 0.6348 0.3956  6 O 1.99-2.22
Hf 0.7578 0.8664 0.3840  7 O 2.07-2.30
Hf 0.2614 0.6325 0.1383  5 O 2.02-2.11
Hf 0.2539 0.3859 0.8636  6 O 2.03-2.25
Hf 0.4984 0.6362 0.3784  5 O 2.01-2.17
Hf 0.4874 0.1219 0.8887  5 O 2.03-2.17
Hf 0.4773 0.1419 0.3967  6 O 2.05-2.17
Hf 0.2606 0.8793 0.3658  6 O 2.02-2.26
Hf 0.4860 0.3741 0.1080  7 O 2.11-2.28
Hf 0.2693 0.6289 0.6441  6 O 2.07-2.18
Hf 0.2462 0.8846 0.8621  6 O 1.98-2.20
Hf 0.7634 0.6262 0.1421  6 O 2.07-2.20
Hf 0.2515 0.1341 0.6417  5 O 2.01-2.22
Hf 0.4984 0.3697 0.6265  7 O 2.00-2.24
La 0.5036 0.8806 0.6290  8 O 2.36-2.61
La 0.9957 0.8949 0.1291  6 O 2.24-2.49
La 0.2512 0.3962 0.3740  7 O 2.27-2.49
La 0.7434 0.3886 0.8557  6 O 2.29-2.49

## Properties
DFT total energy ... -9.93 eV per atom



# 8
VASP calculation (PBE) on crystalline PmZnNi at its relaxed geometry.

Cell: 4.4987 4.4987 4.4987 Å, 60.00 60.00 60.00°
Closest atoms and distances in Å follow each position.
Fractional positions:
Zn 0.0000 0.0000 0.0000  4 Pm 2.75, 4 Ni 2.75
Ni 0.2500 0.2500 0.2500  4 Zn 2.75
Pm 0.7500 0.7500 0.7500  4 Zn 2.75

## Properties
E_form ... 0.061 eV per atom
ΔE to the lowest computed polymorph ... 1.40 eV per formula unit



# 9
VASP calculation (PBE) on crystalline K2Re3S6 at its relaxed geometry.

Cell: 9.6368 9.6368 11.9546 Å, 91.12 91.12 60.99°
Closest atoms and distances in Å follow each position.
Fractional positions:
K 0.3561 0.8763 0.5206  6 S 3.08-3.25
K 0.3972 0.6028 0.7500  6 S 3.14-3.51
K 0.1237 0.6439 0.9794  6 S 3.08-3.25
K 0.7884 0.2116 0.7500  8 S 3.14-3.43
K 0.6028 0.3972 0.2500  6 S 3.14-3.51
K 0.2116 0.7884 0.2500  8 S 3.14-3.43
K 0.6439 0.1237 0.4794  6 S 3.08-3.25
K 0.8763 0.3561 0.0206  6 S 3.08-3.25
S 0.0613 0.6108 0.7183  3 Re 2.41-2.42
S 0.9271 0.7455 0.3310  3 Re 2.40-2.43
S 0.2649 0.4397 0.1950  2 Re 2.49
S 0.0729 0.2545 0.6690  3 Re 2.40-2.43
S 0.5603 0.7351 0.3050  2 Re 2.49
S 0.7217 0.4454 0.5203  3 Re 2.44-2.45
S 0.3892 0.9387 0.7817  3 Re 2.41-2.42
S 0.5546 0.2783 0.9797  3 Re 2.44-2.45
S 0.0598 0.9995 0.9256  1 S 2.14
S 0.4397 0.2649 0.6950  2 Re 2.49
S 0.7975 0.7173 0.0694  3 Re 2.40-2.43
S 0.2783 0.5546 0.4797  3 Re 2.44-2.45
S 0.4454 0.7217 0.0203  3 Re 2.44-2.45
S 0.2025 0.2827 0.9306  3 Re 2.40-2.43
S 0.2827 0.2025 0.4306  3 Re 2.40-2.43
S 0.9402 0.0005 0.0744  1 S 2.14
S 0.9995 0.0598 0.4256  1 S 2.14
S 0.2545 0.0729 0.1690  3 Re 2.40-2.43
S 0.9387 0.3892 0.2817  3 Re 2.41-2.42
S 0.0005 0.9402 0.5744  1 S 2.14
S 0.7173 0.7975 0.5694  3 Re 2.40-2.43
S 0.6108 0.0613 0.2183  3 Re 2.41-2.42
S 0.7351 0.5603 0.8050  2 Re 2.49
S 0.7455 0.9271 0.8310  3 Re 2.40-2.43
Re 0.1886 0.3962 0.5831  5 S 2.40-2.49, 4 Re 2.63-2.65
Re 0.4698 0.1157 0.8696  5 S 2.40-2.49, 4 Re 2.63-2.65
Re 0.1157 0.4698 0.3696  5 S 2.40-2.49, 4 Re 2.63-2.65
Re 0.3086 0.0037 0.9743  5 S 2.41-2.48, 4 Re 2.63
Re 0.8843 0.5302 0.6304  5 S 2.40-2.49, 4 Re 2.63-2.65
Re 0.3962 0.1886 0.0831  5 S 2.40-2.49, 4 Re 2.63-2.65
Re 0.8114 0.6038 0.4169  5 S 2.40-2.49, 4 Re 2.63-2.65
Re 0.6038 0.8114 0.9169  5 S 2.40-2.49, 4 Re 2.63-2.65
Re 0.9963 0.6914 0.5257  5 S 2.41-2.48, 4 Re 2.63
Re 0.6914 0.9963 0.0257  5 S 2.41-2.48, 4 Re 2.63
Re 0.0037 0.3086 0.4743  5 S 2.41-2.48, 4 Re 2.63
Re 0.5302 0.8843 0.1304  5 S 2.40-2.49, 4 Re 2.63-2.65

## Properties
DFT total energy ... -6.63 eV per atom